A | Computed, not measured: AgPtCl6 after structural relaxation at the GGA-PBE level of DFT.

```
AgPtCl6
1.0
-4.8558 1.7648 3.1199
-4.1781 -4.1011 1.5885
1.6228 -4.0493 4.9530
Ag Cl Pt
1 6 1
Cartesian
0.0000 0.0000 0.0000 Ag
-6.5614 -3.1527 4.8836 Cl
-0.7950 -1.6396 1.8941 Cl
-3.6584 -2.1344 3.4603 Cl
-3.7527 -4.2511 6.2011 Cl
-6.6161 -4.7460 7.7673 Cl
-0.8497 -3.2329 4.7778 Cl
-1.6165 -1.1422 4.0364 Pt
```

Values from the calculation:
**Theoretical density**: 4.70 Mg/m³
**Calculated volume**: 182.0 Å³ per cell

---

B | Computed, not measured: AgPtCl6 after structural relaxation at the GGA-PBE level of DFT.

```
AgPtCl6
1.0
-5.1068 -3.5237 -2.4074
-5.0848 -1.6295 3.9725
-5.9360 2.8903 -0.8377
Ag Cl Pt
1 6 1
Cartesian
-8.0638 -1.1315 0.3637 Ag
-2.5751 -1.7444 -1.1834 Cl
-5.0802 -2.5472 0.7738 Cl
-2.5642 -0.8111 1.9599 Cl
-2.9836 1.4157 -0.4100 Cl
-5.4996 -0.3204 -1.5961 Cl
-5.4888 0.6129 1.5471 Cl
-4.0319 -0.5657 0.1819 Pt
```

Values from the calculation:
**Theoretical density**: 4.11 Mg/m³
**Calculated volume**: 208.4 Å³ per cell

---

Tell me which of them is the least stable. Sure, it is B.

---

A | Computed, not measured: AgSbCl6 after structural relaxation at the GGA-PBE level of DFT.

```
AgSbCl6
1.0
6.3283 -2.7387 -7.3865
1.2279 -6.1353 7.9346
-9.5244 -0.6438 -3.3134
Ag Cl Sb
4 24 4
Cartesian
0.0000 0.0000 0.0000 Ag
3.7781 -4.4370 0.2741 Ag
-1.5981 -1.6912 -5.3499 Ag
-4.1482 -3.3895 2.3106 Ag
6.5078 -7.0426 -1.3710 Cl
2.4123 -6.7014 5.4023 Cl
3.5182 -6.5334 2.1907 Cl
4.5488 -5.4409 -3.6432 Cl
0.4806 -5.1047 2.6463 Cl
1.1958 -3.8589 -0.7907 Cl
1.9622 -3.4178 -4.2142 Cl
3.5137 -3.1543 -7.5905 Cl
2.8063 -6.7649 -1.0573 Cl
-1.9246 -3.5992 0.5365 Cl
-1.3854 -2.7657 -2.7162 Cl
-2.1218 -6.3694 4.3007 Cl
0.1536 -3.1483 -7.0659 Cl
-0.5828 -6.7520 -0.0490 Cl
-0.0436 -5.9185 -3.3017 Cl
-4.7745 -2.7528 -1.7080 Cl
-5.4820 -6.3634 4.8253 Cl
-3.9304 -6.0999 1.4490 Cl
-3.1640 -5.6588 -1.9746 Cl
-2.4489 -4.4131 -5.4115 Cl
-6.5170 -4.0768 0.8779 Cl
-5.4864 -2.9843 -4.9559 Cl
-4.3805 -2.8163 -8.1675 Cl
-8.4760 -2.4751 -1.3943 Cl
3.1641 -1.3693 -3.6932 Sb
0.6140 -3.0676 3.9673 Sb
-4.7622 -0.3219 -1.6567 Sb
-0.9841 -4.7589 -1.3826 Sb
```

Values from the calculation:
**Theoretical density**: 3.70 Mg/m³
**Calculated volume**: 794.3 Å³ per cell

---

B | Computed, not measured: AgSbCl6 after structural relaxation at the GGA-PBE level of DFT.

```
AgSbCl6
1.0
3.2454 -5.7383 0.0000
3.2454 5.7383 0.0000
-1.9891 0.0000 6.1225
Ag Cl Sb
1 6 1
Cartesian
0.0000 0.0000 0.0000 Ag
1.2510 -1.7219 1.6504 Cl
1.2510 1.7219 1.6504 Cl
4.2100 0.0000 1.6679 Cl
0.2916 0.0000 4.4546 Cl
3.2507 -1.7219 4.4721 Cl
3.2507 1.7219 4.4721 Cl
2.2508 0.0000 3.0613 Sb
```

Values from the calculation:
**Theoretical density**: 3.22 Mg/m³
**Calculated volume**: 228.0 Å³ per cell

---

Tell me which of them is the least stable. Sure, it is A.